(1)
DFT (PBE) results for an optimized crystal structure of NbCdRhN2.

Results
SG: P4/mmm (123)
Electronic total energy, eV/atom: -5.5740

a b c (Å): 3.9450 3.9450 5.1643
angles (deg): 90.00 90.00 90.00
With the nearest neighbours (Å) after each atom.
Atoms (fractional coordinates):
Nb: 0.0000 0.0000 0.0000  2 Rh 2.58, 4 Cd 2.79
Cd: 0.5000 0.5000 0.0000  4 Nb 2.79
Rh: 0.0000 0.0000 0.5000  4 N 1.97
N: 0.0000 0.5000 0.5000  2 Rh 1.97
N: 0.5000 0.0000 0.5000  2 Rh 1.97

---

(2)
DFT (PBE) results for an optimized crystal structure of NbCdS2N.

Results
SG: P4/mmm (123)
Electronic total energy, eV/atom: -4.1224

a b c (Å): 4.8587 4.8587 4.0088
angles (deg): 90.00 90.00 90.00
With the nearest neighbours (Å) after each atom.
Atoms (fractional coordinates):
Nb: 0.0000 0.0000 0.0000  8 S 3.15, 4 N 3.44
Cd: 0.5000 0.5000 0.5000  2 N 2.00
S: 0.0000 0.5000 0.5000  2 Cd 2.43
S: 0.5000 0.0000 0.5000  2 Cd 2.43
N: 0.5000 0.5000 0.0000  2 Cd 2.00

---

(3)
DFT (PBE) results for an optimized crystal structure of NbCdSN2.

Results
SG: P4/mmm (123)
Electronic total energy, eV/atom: -4.6128

a b c (Å): 4.0994 4.0994 5.0356
angles (deg): 90.00 90.00 90.00
With the nearest neighbours (Å) after each atom.
Atoms (fractional coordinates):
Nb: 0.0000 0.0000 0.0000  4 S 2.90
Cd: 0.5000 0.5000 0.5000  4 N 2.05
S: 0.5000 0.5000 0.0000  2 Cd 2.52
N: 0.0000 0.5000 0.5000  2 Cd 2.05
N: 0.5000 0.0000 0.5000  2 Cd 2.05

---

(4)
DFT (PBE) results for an optimized crystal structure of NbCdS2N.

Results
SG: P4/mmm (123)
Electronic total energy, eV/atom: -5.6470

a b c (Å): 4.9914 4.9914 3.8934
angles (deg): 90.00 90.00 90.00
With the nearest neighbours (Å) after each atom.
Atoms (fractional coordinates):
Nb: 0.0000 0.0000 0.0000  2 N 1.95
Cd: 0.5000 0.5000 0.5000  8 S 3.17, 4 N 3.53
S: 0.0000 0.5000 0.0000  2 Nb 2.50
S: 0.5000 0.0000 0.0000  2 Nb 2.50
N: 0.0000 0.0000 0.5000  2 Nb 1.95

---

(5)
DFT (PBE) results for an optimized crystal structure of NbCdSN2.

Results
SG: P4/mmm (123)
Electronic total energy, eV/atom: -6.2263

a b c (Å): 4.0067 4.0067 5.2981
angles (deg): 90.00 90.00 90.00
With the nearest neighbours (Å) after each atom.
Atoms (fractional coordinates):
Nb: 0.0000 0.0000 0.0000  4 N 2.00
Cd: 0.5000 0.5000 0.5000  4 S 2.83
S: 0.0000 0.0000 0.5000  2 Nb 2.65, 4 Cd 2.83
N: 0.0000 0.5000 0.0000  2 Nb 2.00
N: 0.5000 0.0000 0.0000  2 Nb 2.00

---

(6)
DFT (PBE) results for an optimized crystal structure of Sc2NbCdN.

Results
SG: P4/mmm (123)
Electronic total energy, eV/atom: -7.1702

a b c (Å): 4.4649 4.4649 4.3049
angles (deg): 90.00 90.00 90.00
With the nearest neighbours (Å) after each atom.
Atoms (fractional coordinates):
Sc: 0.0000 0.5000 0.0000  2 N 2.23
Sc: 0.5000 0.0000 0.0000  2 N 2.23
Nb: 0.0000 0.0000 0.5000  2 N 2.15
Cd: 0.5000 0.5000 0.5000  8 Sc 3.10, 4 Nb 3.16
N: 0.0000 0.0000 0.0000  2 Nb 2.15, 4 Sc 2.23

---

(7)
DFT (PBE) results for an optimized crystal structure of ScNb2CdN.

Results
SG: P4/mmm (123)
Electronic total energy, eV/atom: -7.7158

a b c (Å): 4.2777 4.2777 4.5465
angles (deg): 90.00 90.00 90.00
With the nearest neighbours (Å) after each atom.
Atoms (fractional coordinates):
Sc: 0.0000 0.0000 0.0000  2 N 2.27
Nb: 0.0000 0.5000 0.5000  2 N 2.14
Nb: 0.5000 0.0000 0.5000  2 N 2.14
Cd: 0.5000 0.5000 0.0000  4 Sc 3.02, 8 Nb 3.12
N: 0.0000 0.0000 0.5000  4 Nb 2.14, 2 Sc 2.27

---

(8)
DFT (PBE) results for an optimized crystal structure of NbCdSeN2.

Results
SG: P4/mmm (123)
Electronic total energy, eV/atom: -6.0858

a b c (Å): 4.0258 4.0258 5.5900
angles (deg): 90.00 90.00 90.00
With the nearest neighbours (Å) after each atom.
Atoms (fractional coordinates):
Nb: 0.0000 0.0000 0.0000  4 N 2.01
Cd: 0.5000 0.5000 0.5000  4 Se 2.85
Se: 0.0000 0.0000 0.5000  2 Nb 2.80, 4 Cd 2.85
N: 0.0000 0.5000 0.0000  2 Nb 2.01
N: 0.5000 0.0000 0.0000  2 Nb 2.01

---

(9)
DFT (PBE) results for an optimized crystal structure of NbCdSe2N.

Results
SG: P4/mmm (123)
Electronic total energy, eV/atom: -5.3417

a b c (Å): 5.2426 5.2426 3.9050
angles (deg): 90.00 90.00 90.00
With the nearest neighbours (Å) after each atom.
Atoms (fractional coordinates):
Nb: 0.0000 0.0000 0.0000  2 N 1.95
Cd: 0.5000 0.5000 0.5000  8 Se 3.27
Se: 0.0000 0.5000 0.0000  2 Nb 2.62
Se: 0.5000 0.0000 0.0000  2 Nb 2.62
N: 0.0000 0.0000 0.5000  2 Nb 1.95

---

(10)
DFT (PBE) results for an optimized crystal structure of NbCdSeN2.

Results
SG: P4/mmm (123)
Electronic total energy, eV/atom: -4.3781

a b c (Å): 4.0720 4.0720 5.1857
angles (deg): 90.00 90.00 90.00
With the nearest neighbours (Å) after each atom.
Atoms (fractional coordinates):
Nb: 0.0000 0.0000 0.0000  4 Se 2.88
Cd: 0.5000 0.5000 0.5000  4 N 2.04
Se: 0.5000 0.5000 0.0000  2 Cd 2.59, 4 Nb 2.88
N: 0.0000 0.5000 0.5000  2 Cd 2.04
N: 0.5000 0.0000 0.5000  2 Cd 2.04

---

(11)
DFT (PBE) results for an optimized crystal structure of NbCdSe2N.

Results
SG: P4/mmm (123)
Electronic total energy, eV/atom: -4.0078

a b c (Å): 5.3159 5.3159 4.0001
angles (deg): 90.00 90.00 90.00
With the nearest neighbours (Å) after each atom.
Atoms (fractional coordinates):
Nb: 0.0000 0.0000 0.0000  8 Se 3.33
Cd: 0.5000 0.5000 0.5000  2 N 2.00
Se: 0.0000 0.5000 0.5000  2 Cd 2.66
Se: 0.5000 0.0000 0.5000  2 Cd 2.66
N: 0.5000 0.5000 0.0000  2 Cd 2.00

---

(12)
DFT (PBE) results for an optimized crystal structure of NbCd2SiN.

Results
SG: P4/mmm (123)
Electronic total energy, eV/atom: -4.6819

a b c (Å): 4.6415 4.6415 4.1567
angles (deg): 90.00 90.00 90.00
With the nearest neighbours (Å) after each atom.
Atoms (fractional coordinates):
Nb: 0.0000 0.0000 0.0000  2 N 2.08
Cd: 0.0000 0.5000 0.5000  2 N 2.32
Cd: 0.5000 0.0000 0.5000  2 N 2.32
Si: 0.5000 0.5000 0.0000  8 Cd 3.12, 4 Nb 3.28
N: 0.0000 0.0000 0.5000  2 Nb 2.08, 4 Cd 2.32

---

(13)
DFT (PBE) results for an optimized crystal structure of Sr2NbCdN.

Results
SG: P4/mmm (123)
Electronic total energy, eV/atom: -3.3721

a b c (Å): 6.3800 6.3800 3.9669
angles (deg): 90.00 90.00 90.00
With the nearest neighbours (Å) after each atom.
Atoms (fractional coordinates):
Sr: 0.0000 0.5000 0.0000  2 Cd 3.19
Sr: 0.5000 0.0000 0.0000  2 Cd 3.19
Nb: 0.0000 0.0000 0.5000  8 Sr 3.76, 2 Nb 3.97
Cd: 0.5000 0.5000 0.0000  2 N 1.98
N: 0.5000 0.5000 0.5000  2 Cd 1.98

---

(14)
DFT (PBE) results for an optimized crystal structure of TaNb2CdN.

Results
SG: P4/mmm (123)
Electronic total energy, eV/atom: -8.5635

a b c (Å): 4.4362 4.4362 4.1073
angles (deg): 90.00 90.00 90.00
With the nearest neighbours (Å) after each atom.
Atoms (fractional coordinates):
Ta: 0.0000 0.0000 0.0000  2 N 2.05
Nb: 0.0000 0.5000 0.5000  2 N 2.22
Nb: 0.5000 0.0000 0.5000  2 N 2.22
Cd: 0.5000 0.5000 0.0000  8 Nb 3.02, 4 Ta 3.14
N: 0.0000 0.0000 0.5000  2 Ta 2.05, 4 Nb 2.22

---

(15)
DFT (PBE) results for an optimized crystal structure of NbCdTeN2.

Results
SG: P4/mmm (123)
Electronic total energy, eV/atom: -5.9018

a b c (Å): 4.0912 4.0912 5.9328
angles (deg): 90.00 90.00 90.00
With the nearest neighbours (Å) after each atom.
Atoms (fractional coordinates):
Nb: 0.0000 0.0000 0.0000  4 N 2.05
Cd: 0.5000 0.5000 0.5000  4 Te 2.89
Te: 0.0000 0.0000 0.5000  4 Cd 2.89, 2 Nb 2.97
N: 0.0000 0.5000 0.0000  2 Nb 2.05
N: 0.5000 0.0000 0.0000  2 Nb 2.05

---

(16)
DFT (PBE) results for an optimized crystal structure of NbCdTeN2.

Results
SG: P4/mmm (123)
Electronic total energy, eV/atom: -4.1755

a b c (Å): 4.1471 4.1471 5.5820
angles (deg): 90.00 90.00 90.00
With the nearest neighbours (Å) after each atom.
Atoms (fractional coordinates):
Nb: 0.0000 0.0000 0.0000  4 Te 2.93
Cd: 0.5000 0.5000 0.5000  4 N 2.07
Te: 0.5000 0.5000 0.0000  2 Cd 2.79, 4 Nb 2.93
N: 0.0000 0.5000 0.5000  2 Cd 2.07
N: 0.5000 0.0000 0.5000  2 Cd 2.07

---

(17)
DFT (PBE) results for an optimized crystal structure of Ti2NbCdN.

Results
SG: P4/mmm (123)
Electronic total energy, eV/atom: -7.6797

a b c (Å): 4.1562 4.1562 4.3898
angles (deg): 90.00 90.00 90.00
With the nearest neighbours (Å) after each atom.
Atoms (fractional coordinates):
Ti: 0.0000 0.5000 0.0000  2 N 2.08
Ti: 0.5000 0.0000 0.0000  2 N 2.08
Nb: 0.0000 0.0000 0.5000  2 N 2.19
Cd: 0.5000 0.5000 0.5000  4 Nb 2.94, 8 Ti 3.02
N: 0.0000 0.0000 0.0000  4 Ti 2.08, 2 Nb 2.19

---

(18)
DFT (PBE) results for an optimized crystal structure of Nb2VCdN.

Results
SG: P4/mmm (123)
Electronic total energy, eV/atom: -8.0743

a b c (Å): 4.4103 4.4103 3.8763
angles (deg): 90.00 90.00 90.00
With the nearest neighbours (Å) after each atom.
Atoms (fractional coordinates):
Nb: 0.0000 0.5000 0.0000  2 N 2.21
Nb: 0.5000 0.0000 0.0000  2 N 2.21
V: 0.0000 0.0000 0.5000  2 N 1.94
Cd: 0.5000 0.5000 0.5000  8 Nb 2.94, 4 V 3.12
N: 0.0000 0.0000 0.0000  2 V 1.94

---

(19)
DFT (PBE) results for an optimized crystal structure of Zr2NbCdN.

Results
SG: P4/mmm (123)
Electronic total energy, eV/atom: -7.9477

a b c (Å): 4.6028 4.6028 4.1942
angles (deg): 90.00 90.00 90.00
With the nearest neighbours (Å) after each atom.
Atoms (fractional coordinates):
Zr: 0.0000 0.5000 0.0000  2 N 2.30
Zr: 0.5000 0.0000 0.0000  2 N 2.30
Nb: 0.0000 0.0000 0.5000  2 N 2.10
Cd: 0.5000 0.5000 0.5000  8 Zr 3.11, 4 Nb 3.25
N: 0.0000 0.0000 0.0000  2 Nb 2.10, 4 Zr 2.30

---

(20)
DFT (PBE) results for an optimized crystal structure of Nd4CdN.

Results
SG: P4/mmm (123)
Electronic total energy, eV/atom: -4.7022

a b c (Å): 4.6545 4.6545 7.4950
angles (deg): 90.00 90.00 90.00
With the nearest neighbours (Å) after each atom.
Atoms (fractional coordinates):
Nd: 0.0000 0.5000 0.2068  2 N 2.80, 1 Nd 3.10
Nd: 0.0000 0.5000 0.7932  2 N 2.80, 1 Nd 3.10
Nd: 0.5000 0.0000 0.2068  2 N 2.80, 1 Nd 3.10
Nd: 0.5000 0.0000 0.7932  2 N 2.80, 1 Nd 3.10
Cd: 0.0000 0.0000 0.5000  8 Nd 3.20
N: 0.5000 0.5000 0.0000  8 Nd 2.80

---

(21)
DFT (PBE) results for an optimized crystal structure of Nd5Cd2N2.

Results
SG: Ima2 (46)
Electronic total energy, eV/atom: -5.3441

a b c (Å): 10.7317 10.7317 10.7317
angles (deg): 57.00 140.07 141.06
With the nearest neighbours (Å) after each atom.
Atoms (fractional coordinates):
Nd: 0.0356 0.1395 0.3961  2 N 2.37
Nd: 0.2253 0.4036 0.0966  1 N 2.33
Nd: 0.2253 0.6287 0.3217  1 N 2.33
Nd: 0.2459 0.0099 0.2558  2 N 2.55-2.59
Nd: 0.2459 0.4901 0.7361  2 N 2.55-2.59
Nd: 0.3070 0.1287 0.9034  1 N 2.33
Nd: 0.3070 0.9036 0.6783  1 N 2.33
Nd: 0.7434 0.6395 0.6039  2 N 2.37
Nd: 0.7541 0.5099 0.2639  2 N 2.55-2.59
Nd: 0.7541 0.9901 0.7442  2 N 2.55-2.59
Cd: 0.7301 0.1367 0.3800  7 Nd 3.12-3.47
Cd: 0.7301 0.8501 0.0934  7 Nd 3.12-3.47
Cd: 0.7567 0.3501 0.6200  7 Nd 3.12-3.47
Cd: 0.7567 0.6367 0.9066  7 Nd 3.12-3.47
N: 0.1350 0.9640 0.6710  4 Nd 2.33-2.37
N: 0.2507 0.2507 0.0000  6 Nd 2.55-2.61
N: 0.2507 0.7507 0.5000  6 Nd 2.55-2.61
N: 0.2930 0.4640 0.3290  4 Nd 2.33-2.37

---

(22)
DFT (PBE) results for an optimized crystal structure of Nd3CdN.

Results
SG: Pm-3m (221)
Electronic total energy, eV/atom: -5.4084

a b c (Å): 5.0448 5.0448 5.0448
angles (deg): 90.00 90.00 90.00
With the nearest neighbours (Å) after each atom.
Atoms (fractional coordinates):
Nd: 0.0000 0.0000 0.5000  2 N 2.52
Nd: 0.0000 0.5000 0.0000  2 N 2.52
Nd: 0.5000 0.0000 0.0000  2 N 2.52
Cd: 0.5000 0.5000 0.5000  12 Nd 3.57
N: 0.0000 0.0000 0.0000  6 Nd 2.52

---

(23)
DFT (PBE) results for an optimized crystal structure of Nd2CdP2N6.

Results
SG: P-3 (147)
Electronic total energy, eV/atom: -6.8936

a b c (Å): 5.7779 5.7779 6.2552
angles (deg): 90.00 90.00 120.00
With the nearest neighbours (Å) after each atom.
Atoms (fractional coordinates):
Nd: 0.3333 0.6667 0.3259  3 N 2.34
Nd: 0.6667 0.3333 0.6741  3 N 2.34
Cd: 0.0000 0.0000 0.0000  6 N 2.45
P: 0.3333 0.6667 0.7907  3 N 1.59
P: 0.6667 0.3333 0.2093  3 N 1.59
N: 0.0784 0.3762 0.7697  1 P 1.59
N: 0.2979 0.9216 0.7697  1 P 1.59
N: 0.3762 0.2979 0.2303  1 P 1.59
N: 0.6238 0.7021 0.7697  1 P 1.59
N: 0.7021 0.0784 0.2303  1 P 1.59
N: 0.9216 0.6238 0.2303  1 P 1.59

---

(24)
DFT (PBE) results for an optimized crystal structure of PmNd2CdN.

Results
SG: P4/mmm (123)
Electronic total energy, eV/atom: -5.4166

a b c (Å): 5.0488 5.0488 4.9913
angles (deg): 90.00 90.00 90.00
With the nearest neighbours (Å) after each atom.
Atoms (fractional coordinates):
Pm: 0.0000 0.0000 0.0000  2 N 2.50
Nd: 0.0000 0.5000 0.5000  2 N 2.52
Nd: 0.5000 0.0000 0.5000  2 N 2.52
Cd: 0.5000 0.5000 0.0000  8 Nd 3.55, 4 Pm 3.57
N: 0.0000 0.0000 0.5000  2 Pm 2.50, 4 Nd 2.52

---

(25)
DFT (PBE) results for an optimized crystal structure of Pr2NdCdN.

Results
SG: P4/mmm (123)
Electronic total energy, eV/atom: -5.3921

a b c (Å): 5.0950 5.0950 5.0389
angles (deg): 90.00 90.00 90.00
With the nearest neighbours (Å) after each atom.
Atoms (fractional coordinates):
Pr: 0.0000 0.5000 0.0000  2 N 2.55
Pr: 0.5000 0.0000 0.0000  2 N 2.55
Nd: 0.0000 0.0000 0.5000  2 N 2.52
Cd: 0.5000 0.5000 0.5000  8 Pr 3.58, 4 Nd 3.60
N: 0.0000 0.0000 0.0000  2 Nd 2.52, 4 Pr 2.55

---

(26)
DFT (PBE) results for an optimized crystal structure of Nd2SmCdN.

Results
SG: P4/mmm (123)
Electronic total energy, eV/atom: -5.4161

a b c (Å): 5.0526 5.0526 4.9526
angles (deg): 90.00 90.00 90.00
With the nearest neighbours (Å) after each atom.
Atoms (fractional coordinates):
Nd: 0.0000 0.5000 0.0000  2 N 2.53
Nd: 0.5000 0.0000 0.0000  2 N 2.53
Sm: 0.0000 0.0000 0.5000  2 N 2.48
Cd: 0.5000 0.5000 0.5000  8 Nd 3.54, 4 Sm 3.57
N: 0.0000 0.0000 0.0000  2 Sm 2.48, 4 Nd 2.53

---

(27)
DFT (PBE) results for an optimized crystal structure of NdY2CdN.

Results
SG: P4/mmm (123)
Electronic total energy, eV/atom: -6.1909

a b c (Å): 4.8421 4.8421 5.0558
angles (deg): 90.00 90.00 90.00
With the nearest neighbours (Å) after each atom.
Atoms (fractional coordinates):
Nd: 0.0000 0.0000 0.0000  2 N 2.53
Y: 0.0000 0.5000 0.5000  2 N 2.42
Y: 0.5000 0.0000 0.5000  2 N 2.42
Cd: 0.5000 0.5000 0.0000  4 Nd 3.42, 8 Y 3.50
N: 0.0000 0.0000 0.5000  4 Y 2.42, 2 Nd 2.53

---

(28)
DFT (PBE) results for an optimized crystal structure of Nd2YCdN.

Results
SG: P4/mmm (123)
Electronic total energy, eV/atom: -5.8006

a b c (Å): 5.0781 5.0781 4.7891
angles (deg): 90.00 90.00 90.00
With the nearest neighbours (Å) after each atom.
Atoms (fractional coordinates):
Nd: 0.0000 0.5000 0.0000  2 N 2.54
Nd: 0.5000 0.0000 0.0000  2 N 2.54
Y: 0.0000 0.0000 0.5000  2 N 2.39
Cd: 0.5000 0.5000 0.5000  8 Nd 3.49, 4 Y 3.59
N: 0.0000 0.0000 0.0000  2 Y 2.39, 4 Nd 2.54